InGa2Hg9: optimized geometry, PBE-GGA.

Summary:
Its total DFT energy (no corrections) is -10.99 eV per formula unit.

abc: 10.263 10.263 3.388
angles: 90.00 90.00 120.00
Positions (direct):
In  0.000  0.000  0.000
Ga  0.333  0.667  0.000
Ga  0.667  0.333  0.000
Hg  0.000  0.500  0.000
Hg  0.176  0.351  0.500
Hg  0.176  0.824  0.500
Hg  0.351  0.176  0.500
Hg  0.500  0.000  0.000
Hg  0.500  0.500  0.000
Hg  0.649  0.824  0.500
Hg  0.824  0.176  0.500
Hg  0.824  0.649  0.500

=====

TiAl3S: optimized geometry, PBE-GGA.

Summary:
The formation energy from raw total energies is 1.03 eV per atom.

abc: 5.099 5.099 5.099
angles: 90.00 90.00 90.00
Positions (direct):
Ti  0.000  0.000  0.000
Al  0.000  0.000  0.500
Al  0.000  0.500  0.000
Al  0.500  0.000  0.000
S  0.500  0.500  0.500

=====

LaSc2: optimized geometry, PBE-GGA.

Summary:
Its total DFT energy (no corrections) is -17.41 eV per formula unit.

abc: 6.523 6.523 7.959
angles: 103.02 103.02 31.38
Positions (direct):
La  0.020  0.020  0.293
La  0.980  0.980  0.707
Sc  0.296  0.296  0.359
Sc  0.347  0.347  0.970
Sc  0.653  0.653  0.030
Sc  0.704  0.704  0.641

=====

LaYZnGa: optimized geometry, PBE-GGA.

Summary:
Its total DFT energy (no corrections) is -17.56 eV per formula unit.

abc: 5.209 5.209 5.209
angles: 60.00 60.00 60.00
Positions (direct):
La  0.000  0.000  0.000
Y  0.500  0.500  0.500
Zn  0.250  0.250  0.250
Ga  0.750  0.750  0.750

=====

Tb2Pm2Sc15: optimized geometry, PBE-GGA.

Summary:
Its total DFT energy (no corrections) is -109.15 eV per formula unit.

abc: 8.154 8.154 8.154
angles: 81.42 81.42 81.42
Positions (direct):
Tb  0.112  0.112  0.112
Tb  0.888  0.888  0.888
Pm  0.339  0.339  0.339
Pm  0.661  0.661  0.661
Sc  0.000  0.000  0.500
Sc  0.000  0.303  0.697
Sc  0.000  0.500  0.000
Sc  0.000  0.697  0.303
Sc  0.155  0.637  0.637
Sc  0.303  0.000  0.697
Sc  0.303  0.697  0.000
Sc  0.363  0.363  0.845
Sc  0.363  0.845  0.363
Sc  0.500  0.000  0.000
Sc  0.637  0.155  0.637
Sc  0.637  0.637  0.155
Sc  0.697  0.000  0.303
Sc  0.697  0.303  0.000
Sc  0.845  0.363  0.363

=====

BaPuPO6: optimized geometry, PBE-GGA.

Summary:
The formation energy from raw total energies is -2.44 eV per atom.

abc: 5.304 5.304 5.672
angles: 90.00 90.00 120.00
Positions (direct):
Ba  0.000  0.000  0.000
Pu  0.333  0.667  0.500
P  0.667  0.333  0.500
O  0.409  0.057  0.678
O  0.409  0.352  0.322
O  0.648  0.057  0.322
O  0.648  0.591  0.678
O  0.943  0.352  0.678
O  0.943  0.591  0.322

=====

TeMoRu3: optimized geometry, PBE-GGA.

Summary:
The formation energy from raw total energies is 1.46 eV per atom.

abc: 4.697 4.697 4.697
angles: 90.00 90.00 90.00
Positions (direct):
Te  0.000  0.000  0.000
Mo  0.500  0.500  0.500
Ru  0.000  0.500  0.500
Ru  0.500  0.000  0.500
Ru  0.500  0.500  0.000

=====

Sr2LiNpS5: optimized geometry, PBE-GGA.

Summary:
The formation energy from raw total energies is -1.58 eV per atom.

abc: 8.756 8.756 12.618
angles: 90.00 90.00 153.11
Positions (direct):
Sr  0.096  0.904  0.500
Sr  0.122  0.878  0.131
Sr  0.878  0.122  0.631
Sr  0.904  0.096  0.000
Li  0.442  0.558  0.266
Li  0.558  0.442  0.766
Np  0.213  0.787  0.842
Np  0.787  0.213  0.342
S  0.069  0.931  0.872
S  0.278  0.722  0.481
S  0.299  0.701  0.207
S  0.363  0.637  0.822
S  0.499  0.501  0.597
S  0.501  0.499  0.097
S  0.637  0.363  0.322
S  0.701  0.299  0.707
S  0.722  0.278  0.981
S  0.931  0.069  0.372

=====

BaMgZnH2: optimized geometry, PBE-GGA.

Summary:
Its total DFT energy (no corrections) is -9.80 eV per formula unit.

abc: 4.813 4.813 6.717
angles: 90.00 90.00 90.00
Positions (direct):
Ba  0.000  0.000  0.000
Mg  0.500  0.500  0.500
Zn  0.000  0.000  0.500
H  0.000  0.500  0.000
H  0.500  0.000  0.000

=====

Pr6Sm3Mg: optimized geometry, PBE-GGA.

Summary:
Its total DFT energy (no corrections) is -43.34 eV per formula unit.

abc: 10.664 12.112 5.423
angles: 90.00 90.00 90.00
Positions (direct):
Pr  0.070  0.248  0.000
Pr  0.174  0.081  0.500
Pr  0.213  0.388  0.500
Pr  0.287  0.888  0.000
Pr  0.326  0.581  0.000
Pr  0.430  0.748  0.500
Pr  0.570  0.252  0.500
Pr  0.674  0.419  0.000
Pr  0.713  0.112  0.000
Pr  0.787  0.612  0.500
Pr  0.826  0.919  0.500
Pr  0.930  0.752  0.000
Sm  0.000  0.500  0.000
Sm  0.119  0.719  0.500
Sm  0.381  0.219  0.000
Sm  0.500  0.000  0.500
Sm  0.619  0.781  0.000
Sm  0.881  0.281  0.500
Mg  0.000  0.000  0.000
Mg  0.500  0.500  0.500

=====

Ta3VTc: optimized geometry, PBE-GGA.

Summary:
Its total DFT energy (no corrections) is -48.46 eV per formula unit.

abc: 4.575 4.575 4.575
angles: 90.00 90.00 90.00
Positions (direct):
Ta  0.000  0.000  0.500
Ta  0.000  0.500  0.000
Ta  0.500  0.000  0.000
V  0.000  0.000  0.000
Tc  0.500  0.500  0.500

=====

CrCo2Rh: optimized geometry, PBE-GGA.

Summary:
Its total DFT energy (no corrections) is -30.94 eV per formula unit.

abc: 2.606 2.606 7.027
angles: 90.00 90.00 90.00
Positions (direct):
Cr  0.000  0.000  0.000
Co  0.000  0.000  0.531
Co  0.500  0.500  0.761
Rh  0.500  0.500  0.260

=====

For reference, DOS(E_F) by record: 4.3, 7.3, 10.2, 4.0, 42.1, 8.2, 6.0, 8.0, 1.0, 24.3, 5.7, 5.2 states/eV per cell.